# Th7Re2Au2

A relaxed Th7Re2Au2 crystal (PBE-GGA, Alexandria).

## Properties
Formation energy (eV per atom): -0.220
Total magnetic moment (μB/f.u.): 0.00
ρ (g/cm³): 12.940
D(E_F) (states/eV/f.u.): 12.7

abc: 3.9723 15.5008 9.9649
angles: 90.00 90.00 90.00
Space group Imm2 (No. 44)
Asymmetric unit:
Th (0.0000, 0.0000, 0.0000) (multiplicity 2)
Th (0.0000, 0.1268, 0.4009) (multiplicity 4)
Th (0.0000, 0.3134, 0.6179) (multiplicity 4)
Th (0.0000, 0.3619, 0.2586) (multiplicity 4)
Re (0.0000, 0.2331, 0.9206) (multiplicity 4)
Au (0.0000, 0.0000, 0.6526) (multiplicity 2)
Au (0.0000, 0.5000, 0.7528) (multiplicity 2)